Entry 1:
Material: RbNa3C
Method: DFT, GGA-PBEsol
State: optimized geometry

Structure (POSCAR):
```
RbNa3C
1.0
5.181 0.000 0.000
0.000 5.181 0.000
0.000 0.000 5.181
Rb Na C
1 3 1
Direct
0.500 0.500 0.500
0.000 0.000 0.500
0.500 0.000 0.000
0.000 0.500 0.000
0.000 0.000 0.000
```

Values from the calculation:
Its space group is No. 221. The calculation puts the energy relative to the elements at 3.90 eV per formula unit.

---

Entry 2:
Material: ZrReW2
Method: DFT, GGA-PBEsol
State: optimized geometry

Structure (POSCAR):
```
ZrReW2
1.0
-0.130 -0.740 2.693
-1.145 -4.188 -1.207
5.057 -1.081 -1.047
Zr Re W
1 1 2
Direct
0.500 0.500 0.000
0.000 0.500 0.500
0.243 0.000 0.255
0.757 0.000 0.745
```

Values from the calculation:
Its space group is No. 10. The calculation puts the energy relative to the elements at 0.05 eV per formula unit. The value obtained for the polymorph energy (0 for the lowest one) is 67 meV/atom.

---

Entry 3:
Material: Nd3NiGe2
Method: DFT, GGA-PBEsol
State: optimized geometry

Structure (POSCAR):
```
Nd3NiGe2
1.0
4.226 0.000 0.000
0.000 11.429 0.000
0.000 0.000 11.669
Nd Ni Ge
12 4 8
Direct
0.750 0.623 0.942
0.750 0.301 0.783
0.250 0.058 0.883
0.750 0.877 0.442
0.250 0.442 0.383
0.250 0.699 0.217
0.250 0.801 0.717
0.250 0.377 0.058
0.750 0.558 0.617
0.750 0.942 0.117
0.250 0.123 0.558
0.750 0.199 0.283
0.750 0.865 0.871
0.750 0.635 0.371
0.250 0.135 0.129
0.250 0.365 0.629
0.750 0.311 0.524
0.750 0.189 0.024
0.250 0.811 0.976
0.250 0.006 0.302
0.750 0.994 0.698
0.250 0.494 0.802
0.750 0.506 0.198
0.250 0.689 0.476
```

Values from the calculation:
Its space group is No. 62. The calculation puts the energy relative to the elements at -4.49 eV per formula unit.

---

Entry 4:
Material: RbSbBrF3
Method: DFT, GGA-PBEsol
State: optimized geometry

Structure (POSCAR):
```
RbSbBrF3
1.0
-0.063 3.225 2.946
-2.101 -6.131 4.014
8.776 -0.328 -1.739
Br F Sb Rb
2 6 2 2
Direct
0.564 0.231 0.931
0.436 0.769 0.069
0.697 0.884 0.588
0.600 0.554 0.686
0.400 0.446 0.314
0.303 0.116 0.412
0.213 0.765 0.704
0.787 0.235 0.296
0.696 0.842 0.798
0.304 0.158 0.202
0.979 0.305 0.645
0.021 0.695 0.355
```

Values from the calculation:
Its space group is No. 2. The formation energy from raw total energies is -13.22 eV per formula unit.

---

Entry 5:
Material: MgMn2Ag
Method: DFT, GGA-PBEsol
State: optimized geometry

Structure (POSCAR):
```
MgMn2Ag
1.0
-2.225 -2.671 2.718
1.858 -3.739 1.430
1.233 -0.378 4.220
Ag Mg Mn
1 1 2
Direct
0.500 0.500 0.500
0.250 0.250 0.250
0.750 0.750 0.750
0.000 0.000 0.000
```

Values from the calculation:
Its space group is No. 216. The calculation puts the energy relative to the elements at 1.25 eV per formula unit.

---

Entry 6:
Material: RbNaHgS2
Method: DFT, GGA-PBEsol
State: optimized geometry

Structure (POSCAR):
```
RbNaHgS2
1.0
-5.721 -0.427 1.247
-0.632 -3.986 -4.264
1.206 -4.472 4.001
Rb Na S Hg
1 1 2 1
Direct
0.000 0.000 0.000
0.500 0.500 0.500
0.500 0.000 0.000
0.000 0.500 0.000
0.000 0.000 0.500
```

Values from the calculation:
Its space group is No. 123. The formation energy from raw total energies is 1.74 eV per formula unit.

---

Entry 7:
Material: CdAgAu2
Method: DFT, GGA-PBEsol
State: optimized geometry

Structure (POSCAR):
```
CdAgAu2
1.0
2.999 0.000 0.000
0.000 4.945 -0.005
0.000 -1.577 4.687
Au Cd Ag
2 1 1
Direct
0.000 0.500 0.000
0.000 0.000 0.500
0.500 0.500 0.500
0.500 0.000 0.000
```

Values from the calculation:
Its space group is No. 65. The calculation puts the energy relative to the elements at -0.49 eV per formula unit.

---

Entry 8:
Material: ZrTa2Ni
Method: DFT, GGA-PBEsol
State: optimized geometry

Structure (POSCAR):
```
ZrTa2Ni
1.0
-2.854 -1.014 -0.019
-0.548 -2.977 -0.092
-1.095 -1.607 8.699
Ta Zr Ni
2 1 1
Direct
0.992 0.992 0.023
0.746 0.746 0.761
0.507 0.507 0.479
0.254 0.254 0.237
```

Values from the calculation:
Its space group is No. 160. The calculation puts the energy relative to the elements at 0.61 eV per formula unit. The value obtained for the polymorph energy (0 for the lowest one) is 224 meV/atom.

---

Entry 9:
Material: BeF2
Method: DFT, GGA-PBEsol
State: optimized geometry

Structure (POSCAR):
```
BeF2
1.0
7.208 0.000 0.000
-2.403 6.796 0.000
-2.403 -3.398 5.885
F Be
12 6
Direct
0.697 0.697 0.286
0.411 0.411 0.714
0.411 0.714 0.411
0.589 0.303 0.000
0.000 0.303 0.589
0.714 0.411 0.411
0.286 0.697 0.697
0.303 0.000 0.589
0.697 0.286 0.697
0.589 0.000 0.303
0.303 0.589 0.000
0.000 0.589 0.303
0.500 0.250 0.750
0.250 0.500 0.750
0.750 0.250 0.500
0.250 0.750 0.500
0.500 0.750 0.250
0.750 0.500 0.250
```

Values from the calculation:
Its space group is No. 217. The formation energy from raw total energies is -9.77 eV per formula unit. The value obtained for the polymorph energy (0 for the lowest one) is 3 meV/atom.

---

Entry 10:
Material: TiGaSe2N
Method: DFT, GGA-PBEsol
State: optimized geometry

Structure (POSCAR):
```
TiGaSe2N
1.0
3.575 0.000 0.000
0.000 5.013 0.000
0.000 0.000 5.013
Se Ga Ti N
2 1 1 1
Direct
0.000 0.000 0.500
0.000 0.500 0.000
0.000 0.000 0.000
0.500 0.500 0.500
0.500 0.000 0.000
```

Values from the calculation:
Its space group is No. 123. The formation energy from raw total energies is 1.90 eV per formula unit.

---

Entry 11:
Material: La2Te3
Method: DFT, GGA-PBEsol
State: optimized geometry

Structure (POSCAR):
```
La2Te3
1.0
9.502 0.000 0.000
0.000 9.502 0.000
-4.751 -4.751 14.303
La Te
16 24
Direct
0.583 0.083 0.165
0.921 0.546 0.581
0.245 0.875 0.250
0.667 0.667 0.335
0.454 0.340 0.419
0.917 0.417 0.835
0.329 0.714 0.919
0.660 0.036 0.581
0.333 0.333 0.665
0.286 0.410 0.081
0.625 0.755 0.750
0.005 0.375 0.250
0.964 0.079 0.419
0.125 0.995 0.750
0.796 0.671 0.081
0.590 0.204 0.919
0.989 0.241 0.636
0.603 0.509 0.864
0.605 0.011 0.364
0.975 0.723 0.797
0.275 0.676 0.703
0.759 0.353 0.364
0.095 0.689 0.030
0.155 0.409 0.470
0.315 0.061 0.470
0.645 0.397 0.136
0.822 0.074 0.797
0.939 0.845 0.530
0.647 0.395 0.636
0.261 0.355 0.864
0.591 0.685 0.530
0.973 0.725 0.297
0.277 0.178 0.203
0.926 0.025 0.203
0.935 0.341 0.030
0.491 0.739 0.136
0.324 0.572 0.297
0.311 0.065 0.970
0.659 0.905 0.970
0.428 0.027 0.703
```

Values from the calculation:
Its space group is No. 122. The formation energy from raw total energies is -8.02 eV per formula unit.

---

Entry 12:
Material: DyBi2IO4
Method: DFT, GGA-PBEsol
State: optimized geometry

Structure (POSCAR):
```
DyBi2IO4
1.0
-0.273 -1.279 3.667
-2.786 -2.496 -1.078
6.590 -6.574 -1.804
Bi O Dy I
2 4 1 1
Direct
0.500 0.500 0.740
0.500 0.500 0.260
0.500 0.000 0.857
0.000 0.500 0.143
0.000 0.500 0.857
0.500 0.000 0.143
0.000 0.000 0.000
0.000 0.000 0.500
```

Values from the calculation:
Its space group is No. 123. The formation energy from raw total energies is -15.80 eV per formula unit.